# NdHoAu | the Open Quantum Materials Database | PBE | optimized geometry
data_NdHoAu
_chemical_formula_sum 'Nd4 Ho4 Au4'
_cell_length_a 7.2752
_cell_length_b 5.0027
_cell_length_c 8.9926
_cell_angle_alpha 90.00
_cell_angle_beta 90.00
_cell_angle_gamma 90.00
_symmetry_space_group_name_H-M 'P n m a'
_symmetry_Int_Tables_number 62
loop_
_symmetry_equiv_pos_as_xyz
'x,y,z'
'-x,-y,-z'
'-x+1/2,-y,z+1/2'
'x+1/2,y,-z+1/2'
'x+1/2,-y+1/2,-z+1/2'
'-x+1/2,y+1/2,z+1/2'
'-x,y+1/2,-z'
'x,-y+1/2,z'
loop_
_atom_site_label
_atom_site_fract_x
_atom_site_fract_y
_atom_site_fract_z
_atom_site_occupancy
Nd1 0.0121 0.2500 0.1773 1
Ho1 0.1487 0.2500 0.5811 1
Au1 0.2463 0.7500 0.4015 1
# Volume   327.29 Å³/cell
# Magnetic moment   0.01 μB per cell
# Formation energy from the elements   -0.606 eV/atom
# Relative energy among the computed polymorphs   0 meV per atom

***

# SnIrPd | the Open Quantum Materials Database | PBE | optimized geometry
data_SnIrPd
_chemical_formula_sum 'Sn4 Ir4 Pd4'
_cell_length_a 6.1880
_cell_length_b 6.1880
_cell_length_c 6.1880
_cell_angle_alpha 90.00
_cell_angle_beta 90.00
_cell_angle_gamma 90.00
_symmetry_space_group_name_H-M 'F -4 3 m'
_symmetry_Int_Tables_number 216
_symmetry_space_group_name_Hall 'F -4 2 3'
loop_
_atom_site_label
_atom_site_fract_x
_atom_site_fract_y
_atom_site_fract_z
_atom_site_occupancy
Sn1 0.0000 0.0000 0.0000 1
Ir1 0.2500 0.2500 0.7500 1
Pd1 0.0000 0.0000 0.5000 1
# Volume   236.95 Å³/cell
# Magnetic moment   0.00 μB per cell
# Relative energy among the computed polymorphs   0 meV per atom